This record from Alexandria via LeMat-Bulk describes a relaxed structure of CdIn11Hg17. The functional is PBE-GGA.

Summary:
Total energy   -35.7 eV for the cell shown
SG   Cm, No. 8
Fermi-level density of states   0.37 states/eV/atom
ΔE_f   0.017 eV/atom

abc: 10.2756 10.2755 7.9654
angles: 101.85 101.85 101.89
Closest atoms and distances in Å follow each position.
Positions (direct):
Hg 0.0935 0.0935 0.2290  5 In 3.15-3.35, 2 Hg 3.19
Hg 0.5243 0.2052 0.9574  4 Hg 3.09-3.44, 1 Cd 3.10, 3 In 3.11-3.26
Hg 0.3531 0.9554 0.0587  4 In 3.11-3.20, 4 Hg 3.15-3.47
Hg 0.6211 0.0202 0.4024  5 In 3.05-3.28, 4 Hg 3.23-3.30
Hg 0.3035 0.6943 0.7081  5 Hg 3.09-3.32, 4 In 3.12-3.25
Hg 0.0363 0.2867 0.5600  4 In 3.09-3.42, 2 Hg 3.19-3.44
Hg 0.8265 0.8265 0.9051  1 Hg 3.11, 8 In 3.21-3.31
Hg 0.8556 0.8556 0.3800  3 Hg 3.23-3.35, 6 In 3.23-3.55
Hg 0.6943 0.3035 0.7081  5 Hg 3.09-3.32, 4 In 3.12-3.25
Hg 0.9554 0.3531 0.0587  4 In 3.11-3.20, 4 Hg 3.15-3.47
Hg 0.0202 0.6211 0.4024  5 In 3.05-3.28, 4 Hg 3.23-3.30
Hg 0.7444 0.3810 0.3462  4 In 3.16-3.29, 5 Hg 3.23-3.47, 1 Cd 3.29
Hg 0.4450 0.4450 0.7309  5 Hg 3.21-3.47, 4 In 3.23-3.51, 1 Cd 3.29
Hg 0.6444 0.6444 0.5358  1 Cd 3.09, 5 Hg 3.11-3.42, 2 In 3.45
Hg 0.3810 0.7444 0.3462  4 In 3.16-3.29, 5 Hg 3.23-3.47, 1 Cd 3.29
Hg 0.2052 0.5243 0.9574  4 Hg 3.09-3.44, 1 Cd 3.10, 3 In 3.11-3.26
Hg 0.2867 0.0363 0.5600  4 In 3.09-3.42, 2 Hg 3.19-3.44
In 0.0857 0.8809 0.7374  6 Hg 3.09-3.25, 3 In 3.27-3.37
In 0.7822 0.0991 0.1414  6 Hg 3.05-3.26
In 0.8809 0.0857 0.7374  6 Hg 3.09-3.25, 3 In 3.27-3.37
In 0.4341 0.2324 0.3651  7 Hg 3.12-3.35, 1 In 3.22, 1 Cd 3.27
In 0.2324 0.4341 0.3651  7 Hg 3.12-3.35, 1 In 3.22, 1 Cd 3.27
In 0.9328 0.5571 0.7363  7 Hg 3.11-3.45, 3 In 3.37-3.42
In 0.0991 0.7822 0.1414  6 Hg 3.05-3.26
In 0.5571 0.9328 0.7363  7 Hg 3.11-3.45, 3 In 3.37-3.42
In 0.5585 0.7605 0.0542  7 Hg 3.20-3.51, 1 Cd 3.20, 2 In 3.22-3.37
In 0.2106 0.2106 0.9265  7 Hg 3.20-3.49, 2 In 3.27, 1 Cd 3.33
In 0.7605 0.5585 0.0542  7 Hg 3.20-3.51, 1 Cd 3.20, 2 In 3.22-3.37
Cd 0.4757 0.4757 0.1581  6 Hg 3.09-3.29, 5 In 3.20-3.33

***

This record from Alexandria via LeMat-Bulk describes a relaxed structure of CdIn15Hg4. The functional is PBE-GGA.

Summary:
Total energy   -43.1 eV for the cell shown
SG   P4/mmm, No. 123
Fermi-level density of states   0.41 states/eV/atom
ΔE_f   0.004 eV/atom

abc: 4.7364 4.7364 23.4867
angles: 90.00 90.00 90.00
Closest atoms and distances in Å follow each position.
Positions (direct):
In 0.5000 0.5000 0.3999  8 In 3.34, 4 Hg 3.35
In 0.5000 0.5000 0.1989  8 In 3.34-3.35, 4 Hg 3.35
In 0.5000 0.5000 0.8011  8 In 3.34-3.35, 4 Hg 3.35
In 0.0000 0.5000 0.9015  8 In 3.31-3.35, 2 Cd 3.31, 2 Hg 3.35
In 0.5000 0.5000 0.6001  8 In 3.34, 4 Hg 3.35
In 0.0000 0.5000 0.7004  4 Hg 3.34, 8 In 3.34-3.35
In 0.5000 0.5000 0.0000  8 In 3.31, 4 Cd 3.35
In 0.0000 0.5000 0.5000  8 In 3.34-3.35, 4 Hg 3.34
In 0.5000 0.0000 0.9015  2 Cd 3.31, 8 In 3.31-3.35, 2 Hg 3.35
In 0.5000 0.0000 0.2996  4 Hg 3.34, 8 In 3.34-3.35
In 0.5000 0.0000 0.7004  4 Hg 3.34, 8 In 3.34-3.35
In 0.0000 0.5000 0.0985  8 In 3.31-3.35, 2 Cd 3.31, 2 Hg 3.35
In 0.5000 0.0000 0.0985  2 Cd 3.31, 8 In 3.31-3.35, 2 Hg 3.35
In 0.5000 0.0000 0.5000  8 In 3.34-3.35, 4 Hg 3.34
In 0.0000 0.5000 0.2996  4 Hg 3.34, 8 In 3.34-3.35
Hg 0.0000 0.0000 0.1991  12 In 3.34-3.35
Hg 0.0000 0.0000 0.3997  12 In 3.34-3.35
Hg 0.0000 0.0000 0.6003  12 In 3.34-3.35
Hg 0.0000 0.0000 0.8009  12 In 3.34-3.35
Cd 0.0000 0.0000 0.0000  12 In 3.31-3.35

***

This record from Alexandria via LeMat-Bulk describes a relaxed structure of Cd2In12Hg7. The functional is PBE-GGA.

Summary:
Total energy   -36.3 eV for the cell shown
SG   Pm, No. 6
Fermi-level density of states   0.34 states/eV/atom
ΔE_f   0.022 eV/atom

abc: 3.3208 16.9339 11.3353
angles: 118.93 90.00 90.00
Closest atoms and distances in Å follow each position.
Positions (direct):
Hg 0.0000 0.1603 0.1669  2 Cd 3.07, 6 In 3.15-3.39, 3 Hg 3.32-3.40
Hg 0.0000 0.1115 0.8386  2 Cd 3.11, 4 In 3.13-3.24, 3 Hg 3.32-3.40
Hg 0.5000 0.8506 0.2809  2 Cd 3.17, 6 In 3.20-3.53, 4 Hg 3.32-3.49
Hg 0.0000 0.3382 0.5926  10 In 3.24-3.57, 2 Hg 3.32
Hg 0.0000 0.7280 0.9742  3 In 2.95-3.26
Hg 0.5000 0.6885 0.5703  5 In 3.10-3.40, 2 Cd 3.10, 3 Hg 3.32-3.45
Hg 0.5000 0.5075 0.2485  6 In 3.10-3.47, 3 Hg 3.32-3.45
In 0.5000 0.6262 0.1094  4 Hg 3.10-3.33, 2 Cd 3.19, 5 In 3.31-3.35
In 0.0000 0.4344 0.9186  9 In 3.16-3.40, 1 Hg 3.24
In 0.0000 0.3144 0.0629  4 Hg 3.13-3.35, 5 In 3.16-3.37
In 0.5000 0.3383 0.3372  5 Hg 3.15-3.47, 6 In 3.22-3.37
In 0.0000 0.0296 0.5202  3 Hg 3.18-3.37, 6 In 3.29-3.32
In 0.5000 0.2354 0.7432  4 Hg 3.24-3.40, 9 In 3.32-3.60
In 0.0000 0.5204 0.5183  4 Hg 3.10-3.39, 6 In 3.22-3.32
In 0.5000 0.1453 0.4038  4 Hg 3.27-3.35, 7 In 3.29-3.43
In 0.5000 0.9039 0.6230  3 Cd 3.23-3.30, 6 In 3.32-3.50, 4 Hg 3.40-3.57
In 0.0000 0.8265 0.8193  3 Hg 2.95-3.13, 2 Cd 3.14
In 0.0000 0.9592 0.1639  4 Hg 3.20-3.44, 5 In 3.32-3.44, 2 Cd 3.35
In 0.5000 0.5410 0.7776  7 In 3.24-3.37, 4 Hg 3.31-3.46
Cd 0.0000 0.7349 0.3815  4 Hg 3.10-3.17, 4 In 3.19-3.30, 2 Cd 3.32
Cd 0.5000 0.0061 0.9490  4 Hg 3.07-3.11, 5 In 3.14-3.35, 2 Cd 3.32